Entry 1:
A plane-wave DFT calculation with GGA-PBE was carried out for an optimized crystal structure of PmCdInPd.

a b c (Å): 7.0844 7.0844 7.0844
angles (deg): 90.00 90.00 90.00
Closest atoms and distances in Å follow each position.
Space group F-43m (No. 216)
Inequivalent atoms, fractional coordinates:
1 Pm 0.0000 0.0000 0.0000 x4  4 Cd 3.07, 4 Pd 3.07
2 Cd 0.2500 0.2500 0.7500 x4  4 In 3.07, 4 Pm 3.07
3 In 0.0000 0.0000 0.5000 x4  4 Pd 3.07, 4 Cd 3.07
4 Pd 0.2500 0.2500 0.2500 x4  4 In 3.07, 4 Pm 3.07

Results
- DFT total energy (eV per formula unit) = -15.71
- mass density (g/cm3) = 8.94
- energy relative to the elements (eV/atom) = -0.5284
- magnetic moment (μB/cell) = 0.0

=====

Entry 2:
A plane-wave DFT calculation with GGA-PBE was carried out for an optimized crystal structure of PmCd2InPd4.

a b c (Å): 4.7634 4.7634 23.2123
angles (deg): 90.00 90.00 120.00
Closest atoms and distances in Å follow each position.
Space group R-3m (No. 166, hexagonal axes)
Inequivalent atoms, fractional coordinates:
1 Pm 0.0000 0.0000 0.0000 x3  8 Pd 2.98
2 Cd 0.0000 0.0000 0.2509 x6  8 Pd 2.84-3.06
3 In 0.0000 0.0000 0.5000 x3  8 Pd 2.72-2.89
4 Pd 0.0000 0.0000 0.1286 x6  4 Cd 2.84-2.95, 3 In 2.89, 1 Pm 2.98
5 Pd 0.0000 0.0000 0.3827 x6  1 In 2.72, 3 Cd 2.85, 3 Pm 2.98

Results
- DFT total energy (eV per formula unit) = -34.58
- mass density (g/cm3) = 9.94
- energy relative to the elements (eV/atom) = -0.5611
- magnetic moment (μB/cell) = 0.0

=====

Entry 3:
A plane-wave DFT calculation with GGA-PBE was carried out for an optimized crystal structure of Pr4CdIn2Pd.

a b c (Å): 5.4486 5.4486 26.5132
angles (deg): 90.00 90.00 120.00
Closest atoms and distances in Å follow each position.
Space group R-3m (No. 166, hexagonal axes)
Inequivalent atoms, fractional coordinates:
1 Pr 0.0000 0.0000 0.1174 x6  1 Pd 3.11, 4 In 3.23-3.33, 3 Cd 3.41
2 Pr 0.0000 0.0000 0.3689 x6  3 Pd 3.28, 4 In 3.34-3.46, 1 Cd 3.48, 3 Pr 3.67
3 Cd 0.0000 0.0000 0.5000 x3  8 Pr 3.41-3.48, 6 In 3.74
4 In 0.0000 0.0000 0.2431 x6  8 Pr 3.23-3.46
5 Pd 0.0000 0.0000 0.0000 x3  8 Pr 3.11-3.28

Results
- DFT total energy (eV per formula unit) = -34.47
- mass density (g/cm3) = 7.40
- energy relative to the elements (eV/atom) = -0.4715
- magnetic moment (μB/cell) = 0.0

=====

Entry 4:
A plane-wave DFT calculation with GGA-PBE was carried out for an optimized crystal structure of Pr2Cd2InPd5.

a b c (Å): 10.4681 10.4681 3.8056
angles (deg): 90.00 90.00 90.00
Closest atoms and distances in Å follow each position.
Space group P4/mbm (No. 127)
Inequivalent atoms, fractional coordinates:
1 Pr 0.1708 0.3292 0.0000 x4  3 Cd 2.97-3.16, 6 Pd 3.16-3.25
2 Cd 0.1283 0.6283 0.0000 x4  6 Pd 2.69-2.78, 1 Pr 2.97
3 In 0.0000 0.0000 0.0000 x2  8 Pd 2.85
4 Pd 0.0000 0.5000 0.5000 x2  4 Cd 2.69
5 Pd 0.0436 0.8017 0.5000 x8  2 Cd 2.78, 2 In 2.85, 2 Pd 3.01

Results
- DFT total energy (eV per formula unit) = -45.10
- mass density (g/cm3) = 9.19
- energy relative to the elements (eV/atom) = -0.5005
- magnetic moment (μB/cell) = 0.0

=====

Entry 5:
A plane-wave DFT calculation with GGA-PBE was carried out for an optimized crystal structure of PrCdInPd.

a b c (Å): 7.1503 7.1503 7.1503
angles (deg): 90.00 90.00 90.00
Closest atoms and distances in Å follow each position.
Space group F-43m (No. 216)
Inequivalent atoms, fractional coordinates:
1 Pr 0.0000 0.0000 0.0000 x4  4 Cd 3.10, 4 Pd 3.10
2 Cd 0.2500 0.2500 0.7500 x4  4 In 3.10, 4 Pr 3.10
3 In 0.0000 0.0000 0.5000 x4  4 Pd 3.10, 4 Cd 3.10
4 Pd 0.2500 0.2500 0.2500 x4  4 In 3.10, 4 Pr 3.10

Results
- DFT total energy (eV per formula unit) = -15.67
- mass density (g/cm3) = 8.62
- energy relative to the elements (eV/atom) = -0.5120
- magnetic moment (μB/cell) = 0.0

=====

Entry 6:
A plane-wave DFT calculation with GGA-PBE was carried out for an optimized crystal structure of Cd2InPd5Pt.

a b c (Å): 6.7831 6.7831 14.5679
angles (deg): 90.00 90.00 90.00
Closest atoms and distances in Å follow each position.
Space group I4/mcm (No. 140)
Inequivalent atoms, fractional coordinates:
1 Cd 0.1340 0.3660 0.0000 x8  1 Cd 2.57, 4 Pd 2.59-2.64
2 In 0.0000 0.0000 0.2500 x4  8 Pd 2.79
3 Pd 0.0000 0.0000 0.0000 x4  4 Cd 2.64
4 Pd 0.2289 0.2711 0.3467 x16  1 Cd 2.59, 1 Pt 2.61, 2 In 2.79, 1 Pd 2.85
5 Pt 0.0000 0.5000 0.2500 x4  4 Pd 2.61

Results
- DFT total energy (eV per formula unit) = -36.81
- mass density (g/cm3) = 10.57
- energy relative to the elements (eV/atom) = -0.0267
- magnetic moment (μB/cell) = 0.0

=====

Entry 7:
A plane-wave DFT calculation with GGA-PBE was carried out for an optimized crystal structure of RbCd2InPd.

a b c (Å): 5.3834 5.3834 5.2181
angles (deg): 90.00 90.00 90.00
Closest atoms and distances in Å follow each position.
Space group P4/mmm (No. 123)
Inequivalent atoms, fractional coordinates:
1 Rb 0.0000 0.0000 0.0000 x1  8 Cd 3.75, 4 In 3.81
2 Cd 0.0000 0.5000 0.5000 x2  2 Pd 2.69
3 In 0.5000 0.5000 0.0000 x1  2 Pd 2.61
4 Pd 0.5000 0.5000 0.5000 x1  2 In 2.61, 4 Cd 2.69

Results
- DFT total energy (eV per formula unit) = -11.70
- mass density (g/cm3) = 5.84
- energy relative to the elements (eV/atom) = -0.1950
- magnetic moment (μB/cell) = 0.0

=====

Entry 8:
A plane-wave DFT calculation with GGA-PBE was carried out for an optimized crystal structure of Rb2CdIn12Pd3.

a b c (Å): 10.2955 10.2955 19.5896
angles (deg): 90.00 90.00 120.00
Closest atoms and distances in Å follow each position.
Space group R-3m (No. 166, hexagonal axes)
Inequivalent atoms, fractional coordinates:
1 Rb 0.0000 0.0000 0.0935 x6  3 In 3.56, 1 Rb 3.66
2 Cd 0.0000 0.0000 0.5000 x3  12 In 3.06-3.38
3 In 0.0035 0.5018 0.8624 x18  1 Pd 2.69
4 In 0.1077 0.5539 0.3054 x18  2 Pd 2.68
5 Pd 0.0000 0.5000 0.0000 x9  6 In 2.68-2.69

Results
- DFT total energy (eV per formula unit) = -52.33
- mass density (g/cm3) = 5.49
- energy relative to the elements (eV/atom) = -0.0577
- magnetic moment (μB/cell) = 0.0

=====

Entry 9:
A plane-wave DFT calculation with GGA-PBE was carried out for an optimized crystal structure of CdInPdRu.

a b c (Å): 6.5001 6.5001 6.5001
angles (deg): 90.00 90.00 90.00
Closest atoms and distances in Å follow each position.
Space group F-43m (No. 216)
Inequivalent atoms, fractional coordinates:
1 Cd 0.0000 0.0000 0.0000 x4  4 Ru 2.81, 4 Pd 2.81
2 In 0.0000 0.0000 0.5000 x4  4 Pd 2.81, 4 Ru 2.81
3 Pd 0.2500 0.2500 0.7500 x4  4 Cd 2.81, 4 In 2.81
4 Ru 0.2500 0.2500 0.2500 x4  4 Cd 2.81, 4 In 2.81

Results
- DFT total energy (eV per formula unit) = -18.55
- mass density (g/cm3) = 10.51
- energy relative to the elements (eV/atom) = -0.1076
- magnetic moment (μB/cell) = 0.0

=====

Entry 10:
A plane-wave DFT calculation with GGA-PBE was carried out for an optimized crystal structure of Cd2InSb2Pd5.

a b c (Å): 10.4298 10.4298 3.5622
angles (deg): 90.00 90.00 90.00
Closest atoms and distances in Å follow each position.
Space group P4/mbm (No. 127)
Inequivalent atoms, fractional coordinates:
1 Cd 0.1582 0.3418 0.0000 x4  1 Sb 2.83, 6 Pd 2.85-2.94
2 In 0.0000 0.0000 0.0000 x2  8 Pd 2.78
3 Sb 0.1498 0.6498 0.0000 x4  6 Pd 2.79-2.84, 1 Cd 2.83
4 Pd 0.0000 0.5000 0.5000 x2  4 Sb 2.84, 4 Cd 2.94, 4 Pd 3.09
5 Pd 0.0052 0.7959 0.5000 x8  2 In 2.78, 2 Sb 2.79, 2 Cd 2.85, 3 Pd 3.01-3.09

Results
- DFT total energy (eV per formula unit) = -42.00
- mass density (g/cm3) = 9.56
- formation energy (no corrections) (eV/atom) = -0.323
- magnetic moment (μB/cell) = 0.0

=====

Entry 11:
A plane-wave DFT calculation with GGA-PBE was carried out for an optimized crystal structure of Sc2CdInPd4.

a b c (Å): 4.6392 4.6392 22.8251
angles (deg): 90.00 90.00 120.00
Closest atoms and distances in Å follow each position.
Space group R-3m (No. 166, hexagonal axes)
Inequivalent atoms, fractional coordinates:
1 Sc 0.0000 0.0000 0.2489 x6  8 Pd 2.83-2.86
2 Cd 0.0000 0.0000 0.5000 x3  8 Pd 2.85-2.88
3 In 0.0000 0.0000 0.0000 x3  8 Pd 2.83
4 Pd 0.0000 0.0000 0.1241 x6  4 Sc 2.83-2.85, 1 In 2.83, 3 Cd 2.85
5 Pd 0.0000 0.0000 0.3739 x6  3 In 2.83, 4 Sc 2.85-2.86, 1 Cd 2.88

Results
- DFT total energy (eV per formula unit) = -43.26
- mass density (g/cm3) = 8.70
- energy relative to the elements (eV/atom) = -0.7721
- magnetic moment (μB/cell) = 0.0

=====

Entry 12:
A plane-wave DFT calculation with GGA-PBE was carried out for an optimized crystal structure of Sc4CdIn2Pd.

a b c (Å): 4.9532 4.9532 24.1051
angles (deg): 90.00 90.00 120.00
Closest atoms and distances in Å follow each position.
Space group R-3m (No. 166, hexagonal axes)
Inequivalent atoms, fractional coordinates:
1 Sc 0.0000 0.0000 0.1189 x6  1 Pd 2.87, 4 In 2.96-3.08, 3 Cd 3.08
2 Sc 0.0000 0.0000 0.3709 x6  4 In 2.99-3.09, 3 Pd 3.00, 1 Cd 3.11
3 Cd 0.0000 0.0000 0.5000 x3  8 Sc 3.08-3.11, 6 In 3.45
4 In 0.0000 0.0000 0.2468 x6  8 Sc 2.96-3.09
5 Pd 0.0000 0.0000 0.0000 x3  8 Sc 2.87-3.00

Results
- DFT total energy (eV per formula unit) = -40.95
- mass density (g/cm3) = 6.11
- energy relative to the elements (eV/atom) = -0.5045
- magnetic moment (μB/cell) = 0.0